1.
KZnMo2 after structural relaxation. Source: Alexandria, functional PBE-GGA.

## Properties
Formation energy = 0.926 eV per atom
V = 74.7 Å³/cell
Space group = R-3m
E = -20.331 eV per formula unit

Cell: 10.9783 10.9783 10.9783 Å, 14.75 14.75 14.75°
Closest atoms and distances in Å follow each position.
Atoms (fractional coordinates):
1 K 0.7500 0.7500 0.7500  6 K 2.82
2 Zn 0.2500 0.2500 0.2500  6 Mo 2.80, 6 Zn 2.82
3 Mo 0.9867 0.9867 0.9867  3 Zn 2.80, 6 Mo 2.82
4 Mo 0.5133 0.5133 0.5133  3 Zn 2.80, 6 Mo 2.82



2.
KZnMo4 after structural relaxation. Source: Alexandria, functional PBE-GGA.

## Properties
Formation energy = 1.044 eV per atom
V = 112.5 Å³/cell
Space group = F-43m
E = -39.430 eV per formula unit

Cell: 5.4187 5.4187 5.4187 Å, 60.00 60.00 60.00°
Closest atoms and distances in Å follow each position.
Atoms (fractional coordinates):
1 Mo 0.8759 0.3747 0.3747  6 Mo 2.70-2.72
2 Mo 0.3747 0.8759 0.3747  6 Mo 2.70-2.72
3 Mo 0.3747 0.3747 0.8759  6 Mo 2.70-2.72
4 Mo 0.3747 0.3747 0.3747  6 Mo 2.70-2.72
5 K 0.0000 0.0000 0.0000  12 Mo 3.18, 4 Zn 3.32
6 Zn 0.7500 0.7500 0.7500  12 Mo 3.18, 4 K 3.32



3.
KZnMo2 after structural relaxation. Source: Alexandria, functional PBE-GGA.

## Properties
Formation energy = 1.251 eV per atom
V = 73.8 Å³/cell
Space group = F-43m
E = -19.029 eV per formula unit

Cell: 4.7088 4.7088 4.7088 Å, 60.00 60.00 60.00°
Closest atoms and distances in Å follow each position.
Atoms (fractional coordinates):
1 K 0.5000 0.5000 0.5000  4 Zn 2.88, 4 Mo 2.88
2 Mo 0.2500 0.2500 0.2500  4 Mo 2.88, 4 K 2.88
3 Mo 0.0000 0.0000 0.0000  4 Mo 2.88, 4 Zn 2.88
4 Zn 0.7500 0.7500 0.7500  4 Mo 2.88, 4 K 2.88



4.
K2ZnMo after structural relaxation. Source: Alexandria, functional PBE-GGA.

## Properties
Formation energy = 0.777 eV per atom
V = 137.0 Å³/cell
Space group = C2/m
E = -11.193 eV per formula unit

Cell: 10.4559 10.4559 4.2347 Å, 78.21 78.21 17.60°
Closest atoms and distances in Å follow each position.
Atoms (fractional coordinates):
1 Mo 0.7500 0.7500 0.7500  4 Zn 2.65
2 K 0.8967 0.8967 0.1036  2 K 3.20, 2 Zn 3.37
3 K 0.6033 0.6033 0.3964  2 K 3.20, 2 Zn 3.37
4 Zn 0.2500 0.2500 0.2500  4 Mo 2.65